Here is a relaxed structure of Ir3Rh2 from Alexandria via LeMat-Bulk. Energies are from GGA-PBE.

Cell lengths 4.220, 4.220, 5.260 Å; angles 90.00, 90.00, 120.00 degrees
Atoms (fractional coordinates):
Ir1 0.000 0.000 0.000
Ir2 0.333 0.667 0.383
Ir3 0.667 0.333 0.617
Rh1 0.333 0.667 0.868
Rh2 0.667 0.333 0.132

Results
The space group is P-3m1, No. 164. As for the volume: 16.23 Å³ per atom. As for the total magnetization: 0.0 μB/f.u. For the density of states at the Fermi level, the calculation gives 7.73 states/eV/cell. The formation enthalpy at 0 K comes out at 0.613 eV/atom. Its energy above the most stable polymorph in this dataset is 622 meV/atom.